# 1
Crystalline Zn2CdSb at its relaxed geometry. Source: Alexandria, functional PBE.

Unit cell a=6.815 b=5.147 c=3.287 alpha=85.59 beta=68.52 gamma=123.04
Positions (direct):
Zn 0.500 0.000 0.500
Zn 0.000 0.000 0.000
Cd 0.000 0.500 0.500
Sb 0.500 0.500 0.000

calculated volume = 84.1 Å³/cell
final energy = -6.95 eV for the cell shown
SG = C2/m
N(E_F) = 1.2 states/eV/f.u.


# 2
Crystalline SmEr3Tm4 at its relaxed geometry. Source: Alexandria, functional PBE.

Unit cell a=6.208 b=7.186 c=11.118 alpha=90.00 beta=90.00 gamma=90.00
Positions (direct):
Tm 0.649 0.124 0.000
Tm 0.481 0.876 0.752
Tm 0.147 0.876 0.000
Tm 0.981 0.124 0.748
Tm 0.149 0.876 0.500
Tm 0.647 0.124 0.500
Tm 0.481 0.876 0.248
Tm 0.981 0.124 0.252
Er 0.147 0.374 0.500
Er 0.981 0.626 0.250
Er 0.981 0.626 0.750
Er 0.481 0.374 0.750
Er 0.647 0.626 0.000
Er 0.481 0.374 0.250
Sm 0.648 0.626 0.500
Sm 0.148 0.374 0.000

calculated volume = 496.0 Å³/cell
final energy = -72.57 eV for the cell shown
SG = Pmn2_1
N(E_F) = 13.0 states/eV/f.u.


# 3
Crystalline CuSNO3 at its relaxed geometry. Source: Alexandria, functional PBE.

Unit cell a=8.244 b=8.244 c=8.244 alpha=40.31 beta=40.31 gamma=40.31
Positions (direct):
N 0.643 0.643 0.643
N 0.357 0.357 0.357
O 0.050 0.050 0.619
O 0.950 0.950 0.381
O 0.050 0.619 0.050
O 0.381 0.950 0.950
O 0.950 0.381 0.950
O 0.619 0.050 0.050
S 0.115 0.115 0.115
S 0.885 0.885 0.885
Cu 0.788 0.788 0.788
Cu 0.212 0.212 0.212

calculated volume = 211.4 Å³/cell
final energy = -60.94 eV for the cell shown
SG = R-3m
N(E_F) = 1.7 states/eV/f.u.


# 4
Crystalline TlAuF4 at its relaxed geometry. Source: Alexandria, functional PBE.

Unit cell a=6.516 b=6.516 c=6.516 alpha=110.49 beta=110.49 gamma=107.45
Positions (direct):
Tl 0.492 0.992 0.500
Tl 0.742 0.742 0.000
F 0.166 0.970 0.196
F 0.720 0.023 0.304
F 0.720 0.416 0.696
F 0.773 0.970 0.804
F 0.746 0.527 0.219
F 0.277 0.558 0.281
F 0.277 0.996 0.719
F 0.308 0.527 0.781
Au 0.265 0.265 0.000
Au 0.015 0.515 0.500

calculated volume = 212.8 Å³/cell
final energy = -42.11 eV for the cell shown
SG = I4_1md
N(E_F) = 1.1 states/eV/f.u.


# 5
Crystalline CsVS2 at its relaxed geometry. Source: Alexandria, functional PBE.

Unit cell a=5.041 b=5.041 c=5.041 alpha=60.00 beta=60.00 gamma=60.00
Positions (direct):
V 0.000 0.000 0.000
Cs 0.500 0.500 0.500
S 0.750 0.750 0.750
S 0.250 0.250 0.250

calculated volume = 90.6 Å³/cell
final energy = -17.69 eV for the cell shown
SG = Fm-3m
N(E_F) = 0.8 states/eV/f.u.


# 6
Crystalline Mg2CdPt at its relaxed geometry. Source: Alexandria, functional PBE.

Unit cell a=5.191 b=5.191 c=4.169 alpha=66.31 beta=66.31 gamma=45.30
Positions (direct):
Mg 0.754 0.754 0.746
Mg 0.000 0.000 0.000
Pt 0.498 0.498 0.502
Cd 0.248 0.248 0.252

calculated volume = 71.9 Å³/cell
final energy = -12.10 eV for the cell shown
SG = Imm2
N(E_F) = 0.7 states/eV/f.u.


# 7
Crystalline Dy4Zn2Pt at its relaxed geometry. Source: Alexandria, functional PBE.

Unit cell a=4.917 b=6.097 c=6.097 alpha=108.98 beta=90.00 gamma=90.00
Positions (direct):
Pt 0.500 0.500 0.500
Dy 0.000 0.744 0.744
Dy 0.500 0.500 0.000
Dy 0.500 0.000 0.500
Dy 0.000 0.256 0.256
Zn 0.000 0.244 0.756
Zn 0.000 0.756 0.244

calculated volume = 172.8 Å³/cell
final energy = -30.42 eV for the cell shown
SG = Cmmm
N(E_F) = 5.7 states/eV/f.u.


# 8
Crystalline TbPmSI at its relaxed geometry. Source: Alexandria, functional PBE.

Unit cell a=3.975 b=3.976 c=8.132 alpha=90.00 beta=104.08 gamma=120.01
Positions (direct):
Pm 0.508 0.152 0.674
Tb 0.099 0.948 0.062
I 0.962 0.379 0.357
S 0.309 0.552 0.876

calculated volume = 106.8 Å³/cell
final energy = -20.66 eV for the cell shown
SG = Cm
N(E_F) = 3.1 states/eV/f.u.


Q: Number 1 is which compound?
A: Zn2CdSb


Q: Which formula does entry 4 have?
A: TlAuF4


Q: The lowest calculated volume belongs to which entry?
A: Mg2CdPt